{
  "formula": "CaTiNO2",
  "functional": "PBE",
  "state": "optimized geometry",
  "cell": [[4.108, 0.000, 0.000], [0.000, 4.108, 0.000], [0.000, 0.000, 4.228]],
  "species": ["Ca", "N", "O", "O", "Ti"],
  "fractional_positions": [[0.000, 0.000, 0.000], [0.000, 0.000, 0.500], [0.000, 0.500, 0.000], [0.500, 0.000, 0.000], [0.500, 0.500, 0.500]],
  "dos_ef_per_ev_fu": 3.19,
  "raw_formation_energy_ev_per_fu": 0.33,
  "vol_a3_per_atom": 14.27,
  "dft_energy_ev_per_atom": -5.56,
  "magmom_total_mub_per_cell": 0.1
}